Below is crystalline CoHgSe2N at its relaxed geometry, with properties calculated at the PBE level.

SG: P4/mmm, No. 123
Density of states at the Fermi level in states/eV per cell: 8.1

Cell and atoms, written as extended XYZ:
```
5
Lattice="5.353 0.000 0.000 0.000 5.353 0.000 0.000 0.000 3.968" Properties=species:S:1:pos:R:3 pbc="T T T"
Co 2.677 2.677 1.984
Hg 0.000 0.000 0.000
Se 0.000 2.677 0.000
Se 2.677 0.000 0.000
N 0.000 0.000 1.984
```

Below is crystalline Pr8Nd6Sm at its relaxed geometry, with properties calculated at the PBE level.

Energy relative to the elements in eV/f.u.: 2.068
SG: R-3, No. 148
Density of states at the Fermi level in states/eV per cell: 21.9

Cell and atoms, written as extended XYZ:
```
15
Lattice="-7.572 1.344 -5.656 0.225 -2.982 -9.065 -4.970 -6.613 -2.973" Properties=species:S:1:pos:R:3 pbc="T T T"
Pr -5.076 -3.644 -5.531
Pr -8.218 -2.416 -6.559
Pr -2.895 -5.060 -7.913
Pr -5.609 -2.803 -9.269
Pr -6.708 -5.449 -8.425
Pr -9.422 -3.192 -9.782
Pr -4.099 -5.835 -11.135
Pr -7.241 -4.608 -12.163
Nd -7.754 -8.194 -13.356
Nd -1.116 -1.127 -3.199
Nd -2.227 -1.799 -6.754
Nd -10.090 -6.453 -10.940
Nd -11.201 -7.124 -14.495
Nd -4.563 -0.058 -4.338
Sm 0.000 0.000 0.000
```

Below is crystalline YAs2W at its relaxed geometry, with properties calculated at the PBE level.

Energy relative to the elements in eV/f.u.: -1.373
SG: P4/mmm, No. 123
Density of states at the Fermi level in states/eV per cell: 2.3

Cell and atoms, written as extended XYZ:
```
4
Lattice="-1.628 2.715 -0.731 -2.588 -1.116 1.616 2.366 2.996 5.859" Properties=species:S:1:pos:R:3 pbc="T T T"
Y -0.333 3.047 4.836
As 0.092 0.117 0.228
As 1.091 1.382 2.701
W -1.516 1.549 1.907
```

Below is crystalline V8Ga2P at its relaxed geometry, with properties calculated at the PBE level.

Energy relative to the elements in eV/f.u.: -3.109
SG: C2/m, No. 12
Density of states at the Fermi level in states/eV per cell: 11.6

Cell and atoms, written as extended XYZ:
```
11
Lattice="-2.770 0.767 3.270 1.887 -3.603 2.444 5.845 4.591 0.976" Properties=species:S:1:pos:R:3 pbc="T T T"
V 4.598 2.395 3.334
V 0.316 1.745 2.757
V 2.249 0.645 4.652
V 0.862 -0.471 0.841
V 2.713 1.110 2.038
V 4.646 0.010 3.933
V 0.364 -0.639 3.356
V 4.100 2.226 5.849
Ga 2.148 3.111 3.988
Ga 2.814 -1.355 2.702
P -1.385 0.383 1.635
```

Below is crystalline Ho4Tl2SeS at its relaxed geometry, with properties calculated at the PBE level.

SG: P2/m, No. 10
Density of states at the Fermi level in states/eV per cell: 3.2

Cell and atoms, written as extended XYZ:
```
8
Lattice="3.850 0.000 0.000 0.000 6.704 0.130 0.000 -2.362 7.897" Properties=species:S:1:pos:R:3 pbc="T T T"
Ho 1.925 1.038 1.655
Ho 1.925 3.303 6.372
Ho 0.000 -0.157 6.254
Ho 0.000 4.498 1.773
Tl 1.925 -1.181 3.948
Tl 0.000 2.171 4.013
Se 1.925 3.352 0.065
S 0.000 0.000 0.000
```

Below is crystalline Zn3RhF at its relaxed geometry, with properties calculated at the PBE level.

SG: Pm-3m, No. 221
Density of states at the Fermi level in states/eV per cell: 1.5

Cell and atoms, written as extended XYZ:
```
5
Lattice="-3.684 0.170 3.042 -0.758 -4.674 -0.658 2.951 -0.990 3.629" Properties=species:S:1:pos:R:3 pbc="T T T"
Zn -0.379 -2.337 -0.329
Zn 1.476 -0.495 1.815
Zn -1.842 0.085 1.521
Rh 0.000 0.000 0.000
F -0.746 -2.747 3.007
```

Below is crystalline CdIn2Tc at its relaxed geometry, with properties calculated at the PBE level.

Energy relative to the elements in eV/f.u.: 0.771
SG: Imm2, No. 44
Density of states at the Fermi level in states/eV per cell: 2.4

Cell and atoms, written as extended XYZ:
```
4
Lattice="7.263 0.000 -0.014 6.684 2.840 -0.014 1.520 0.309 4.420" Properties=species:S:1:pos:R:3 pbc="T T T"
Cd 12.439 2.533 2.995
In 13.868 2.824 0.000
In 3.052 0.622 1.388
Tc 7.787 1.586 2.177
```

Below is crystalline Cs2GaHg2 at its relaxed geometry, with properties calculated at the PBE level.

Energy relative to the elements in eV/f.u.: -0.168
SG: P4/mbm, No. 127
Density of states at the Fermi level in states/eV per cell: 12.1

Cell and atoms, written as extended XYZ:
```
10
Lattice="-5.262 -4.052 5.119 6.409 -1.951 5.043 -0.869 4.937 3.014" Properties=species:S:1:pos:R:3 pbc="T T T"
Cs 2.970 0.446 5.801
Cs 1.308 -1.875 9.123
Cs -2.692 -1.513 7.376
Cs -1.030 0.809 4.054
Hg 3.615 -3.124 6.160
Hg -0.400 -4.729 7.630
Hg -2.468 -2.879 4.003
Hg 1.547 -1.274 2.532
Ga 0.000 0.000 0.000
Ga 0.574 -3.002 5.081
```

DFT total energy? In order: -2.814; -4.633; -7.522; -7.956; -4.925; -2.699; -3.997; -1.101 eV per atom.